Entry 1:
First-principles (PBE-GGA) data for an optimized crystal structure of Li3CuAu2, as listed in Alexandria via LeMat-Bulk.

a = 4.0133 Å, b = 5.4431 Å, c = 8.1385 Å
α = 89.66°, β = 90.00°, γ = 90.00°
Fractional coordinates of all 12 atoms:
Li (0.7500, 0.1412, 0.5777)
Li (0.2500, 0.3982, 0.7424)
Au (0.2500, 0.3512, 0.4063)
Li (0.2500, 0.8588, 0.4223)
Au (0.7500, 0.6488, 0.5937)
Cu (0.7500, 0.1065, 0.2461)
Cu (0.2500, 0.8935, 0.7539)
Au (0.7500, 0.1512, 0.9054)
Li (0.7500, 0.6018, 0.2576)
Li (0.7500, 0.6554, 0.9194)
Li (0.2500, 0.3446, 0.0806)
Au (0.2500, 0.8488, 0.0946)

Results
**Energy**: -3.11 eV/atom
**Space group**: P2_1/m, No. 11
**M_tot**: 0.0 Bohr magnetons per cell
**Formation energy**: -220 kJ/mol of formula units
**Volume**: 14.82 Å³/atom

---

Entry 2:
First-principles (PBE-GGA) data for an optimized crystal structure of Li2Cu2Au3, as listed in Alexandria via LeMat-Bulk.

a = 4.0485 Å, b = 2.7989 Å, c = 9.6528 Å
α = 90.00°, β = 77.89°, γ = 90.00°
Fractional coordinates of all 7 atoms:
Li (0.5762, 0.5000, 0.8477)
Cu (0.7144, 0.5000, 0.5713)
Au (0.1542, 0.0000, 0.6916)
Au (0.0000, 0.0000, 0.0000)
Cu (0.2856, 0.5000, 0.4287)
Li (0.4238, 0.5000, 0.1523)
Au (0.8458, 0.0000, 0.3084)

Results
**Energy**: -3.40 eV/atom
**Space group**: Cmmm, No. 65
**M_tot**: 0.0 Bohr magnetons per cell
**Formation energy**: -190 kJ/mol of formula units
**Volume**: 15.28 Å³/atom